{"formula": "TmCo4B", "functional": "PBE-GGA", "state": "optimized geometry", "energy_ev_per_atom": -6.92, "formation_energy_mev_per_atom": -326, "sg": "P6/mmm, No. 191", "lattice_angstrom": [[4.961, 0.000, 0.000], [-2.481, 4.297, 0.000], [0.000, 0.000, 6.835]], "species": ["B", "B", "Tm", "Tm", "Co", "Co", "Co", "Co", "Co", "Co", "Co", "Co"], "fractional_positions": [[0.333, 0.667, 0.500], [0.667, 0.333, 0.500], [0.000, 0.000, 0.500], [0.000, 0.000, 0.000], [0.667, 0.333, 0.000], [0.333, 0.667, 0.000], [0.500, 0.500, 0.713], [0.500, 0.000, 0.713], [0.000, 0.500, 0.713], [0.500, 0.500, 0.287], [0.500, 0.000, 0.287], [0.000, 0.500, 0.287]]}

{"formula": "SrCr2Se", "functional": "PBE-GGA", "state": "optimized geometry", "energy_ev_per_atom": -5.81, "sg": "P2/m, No. 10", "raw_formation_energy_mev_per_atom": 294, "lattice_angstrom": [[4.838, 0.000, 0.000], [0.000, 4.313, 0.018], [0.000, 0.397, 4.326]], "species": ["Cr", "Cr", "Se", "Sr"], "fractional_positions": [[0.000, 0.105, 0.106], [0.000, 0.395, 0.394], [0.500, 0.250, 0.250], [0.500, 0.750, 0.750]]}

{"formula": "TbPS4", "functional": "PBE-GGA", "state": "optimized geometry", "energy_ev_per_atom": -5.36, "sg": "I4_1/amd, No. 141", "raw_formation_energy_mev_per_atom": -939, "lattice_angstrom": [[6.961, -0.647, 2.076], [-4.029, 5.712, 2.077], [-0.374, -0.647, 7.254]], "species": ["Tb", "Tb", "P", "P", "S", "S", "S", "S", "S", "S", "S", "S"], "fractional_positions": [[0.875, 0.625, 0.250], [0.125, 0.375, 0.750], [0.625, 0.875, 0.750], [0.375, 0.125, 0.250], [0.264, 0.690, 0.925], [0.615, 0.690, 0.575], [0.190, 0.115, 0.075], [0.736, 0.310, 0.075], [0.190, 0.764, 0.425], [0.810, 0.885, 0.925], [0.385, 0.310, 0.425], [0.810, 0.236, 0.575]]}

{"formula": "CeCdCl6", "functional": "PBE-GGA", "state": "optimized geometry", "energy_ev_per_atom": -3.82, "sg": "C2/m, No. 12", "raw_formation_energy_mev_per_atom": -1583, "lattice_angstrom": [[6.540, 0.174, 0.863], [1.448, 5.608, 3.154], [0.087, -0.072, 6.982]], "species": ["Ce", "Cd", "Cl", "Cl", "Cl", "Cl", "Cl", "Cl"], "fractional_positions": [[0.000, 0.000, 0.000], [0.500, 0.500, 0.000], [0.749, 0.398, 0.706], [0.749, 0.105, 0.294], [0.251, 0.895, 0.706], [0.251, 0.602, 0.294], [0.755, 0.755, 0.000], [0.245, 0.245, 0.000]]}